## one
## Al2Tc (GGA-PBEsol)

Data for a geometry-optimized Al2Tc structure.

Computed properties:
- symmetry = Cmcm, No. 63

Lattice parameters (Å, degrees): 4.466 4.510 4.779 118.16 90.00 90.00
Fractional coordinates of all 6 atoms:
Tc: 0.750 0.772 0.000
Tc: 0.250 0.228 0.000
Al: 0.750 0.124 0.683
Al: 0.250 0.876 0.317
Al: 0.750 0.440 0.317
Al: 0.250 0.560 0.683

## two
## Al2Tc (GGA-PBEsol)

Data for a geometry-optimized Al2Tc structure.

Computed properties:
- symmetry = P-3m1, No. 164

Lattice parameters (Å, degrees): 2.702 4.256 4.256 120.00 90.00 90.00
Fractional coordinates of all 3 atoms:
Tc: 0.000 0.000 0.000
Al: 0.660 0.333 0.667
Al: 0.340 0.667 0.333

Relative energies, unit eV/atom: one 0.000; two 0.149